## Ca4ZnCoSi4O14 (PBE with a Hubbard U)

Data for a relaxed structure of Ca4ZnCoSi4O14.

POSCAR file:
```
Ca4ZnCoSi4O14
1.0
5.067 0.000 0.000
0.000 7.907 0.000
0.000 0.000 7.907
Ca Zn Co Si O
4 1 1 4 14
Cartesian
0.003 6.519 5.260
5.063 5.260 1.388
0.003 1.388 2.647
5.063 2.647 6.519
2.533 0.000 0.000
2.533 3.954 3.954
2.193 5.054 6.780
2.873 6.780 2.853
2.193 2.853 1.127
2.873 1.127 5.054
3.465 0.000 3.954
1.601 3.954 0.000
1.429 6.442 7.212
1.429 1.465 0.695
3.637 0.695 6.442
3.637 7.212 1.465
3.676 5.427 3.344
3.676 2.480 4.563
1.391 3.344 2.480
1.391 4.563 5.427
3.805 5.041 6.734
1.262 6.734 2.866
3.805 2.866 1.173
1.262 1.173 5.041
```

Properties
For the calculated volume, the calculation gives 317 Å³ per cell. As for the total energy: -7.1094 eV/atom.